Entry 1:
{"formula": "V2Cu2Ag", "functional": "PBE", "state": "relaxed", "total_energy_ev_per_atom": -5.49, "cell": [[-0.965, 3.898, -6.288], [-2.673, -6.097, -3.369], [-2.389, 0.629, 0.757]], "species": ["V", "V", "V", "V", "Cu", "Cu", "Cu", "Cu", "Ag", "Ag"], "fractional_positions": [[0.887, 0.613, 0.000], [0.613, 0.113, 0.000], [0.387, 0.887, 0.000], [0.113, 0.387, 0.000], [0.821, 0.321, 0.500], [0.679, 0.821, 0.500], [0.179, 0.679, 0.500], [0.321, 0.179, 0.500], [0.500, 0.500, 0.000], [0.000, 0.000, 0.000]]}

Entry 2:
{"formula": "CuAgW4", "functional": "PBE", "state": "relaxed", "total_energy_ev_per_atom": -8.96, "cell": [[3.178, -4.151, -0.715], [-1.758, -4.255, -2.579], [1.842, -1.113, -4.817]], "species": ["Cu", "W", "W", "W", "W", "Ag"], "fractional_positions": [[0.000, 0.000, 0.000], [0.625, 0.124, 0.625], [0.124, 0.625, 0.625], [0.625, 0.625, 0.124], [0.625, 0.625, 0.625], [0.250, 0.250, 0.250]]}

Entry 3:
{"formula": "CuAg2W", "functional": "PBE", "state": "relaxed", "total_energy_ev_per_atom": -5.25, "cell": [[-5.628, -1.811, 7.344], [-5.405, -4.431, 6.328], [-3.439, -3.426, 8.082]], "species": ["Cu", "Ag", "Ag", "W"], "fractional_positions": [[0.750, 0.750, 0.750], [0.496, 0.496, 0.496], [0.004, 0.004, 0.004], [0.250, 0.250, 0.250]]}